Computed, not measured: crystalline KBa2W at its relaxed geometry at the GGA-PBE level of DFT.

Cell lengths 6.023, 6.023, 4.561 Å; angles 90.00, 90.00, 90.00 degrees
Atoms (fractional coordinates):
K (0.000, 0.000, 0.000)
Ba (0.000, 0.500, 0.500)
Ba (0.500, 0.000, 0.500)
W (0.500, 0.500, 0.000)

**Polymorph energy (0 for the lowest one)**: 0.291 eV/atom
**E_tot**: -3.186 eV/atom
**Total moment**: 3.18 μB per formula unit
**DOS at the Fermi energy**: 1.06 states/eV per atom
**V**: 41.4 Å³ per atom
**Energy of formation from the pure elements**: 1.29 eV per atom

Computed, not measured: crystalline AcPaReSi2 at its relaxed geometry at the GGA-PBE level of DFT.

Cell lengths 4.235, 4.235, 12.409 Å; angles 90.00, 90.00, 90.00 degrees
Atoms (fractional coordinates):
Ac (0.000, 0.000, 0.000)
Ac (0.500, 0.500, 0.500)
Pa (0.000, 0.500, 0.250)
Pa (0.500, 0.000, 0.750)
Re (0.000, 0.500, 0.750)
Re (0.500, 0.000, 0.250)
Si (0.000, 0.000, 0.399)
Si (0.000, 0.000, 0.601)
Si (0.500, 0.500, 0.101)
Si (0.500, 0.500, 0.899)

**E_tot**: -7.692 eV/atom
**Total moment**: 0.00 μB per formula unit
**DOS at the Fermi energy**: 0.99 states/eV per atom
**V**: 22.3 Å³ per atom
**Formation energy (no corrections)**: -0.31 eV/atom

What did the first record say?
Computed, not measured: crystalline KBa2W at its relaxed geometry at the GGA-PBE level of DFT.

Cell lengths 6.023, 6.023, 4.561 Å; angles 90.00, 90.00, 90.00 degrees
Atoms (fractional coordinates):
K (0.000, 0.000, 0.000)
Ba (0.000, 0.500, 0.500)
Ba (0.500, 0.000, 0.500)
W (0.500, 0.500, 0.000)

**Polymorph energy (0 for the lowest one)**: 0.291 eV/atom
**E_tot**: -3.186 eV/atom
**Total moment**: 3.18 μB per formula unit
**DOS at the Fermi energy**: 1.06 states/eV per atom
**V**: 41.4 Å³ per atom
**Energy of formation from the pure elements**: 1.29 eV per atom